## LaZn2CdAu5 (PBE)

Data for crystalline LaZn2CdAu5 at its relaxed geometry.

Geometry as CIF:
```
data_LaZn2CdAu5
_cell_length_a 4.937
_cell_length_b 4.937
_cell_length_c 7.781
_cell_angle_alpha 90.00
_cell_angle_beta 90.00
_cell_angle_gamma 90.00
_symmetry_space_group_name_H-M 'P 4/m m m'
_symmetry_Int_Tables_number 123
_symmetry_space_group_name_Hall '-P 4 2'
loop_
_atom_site_label
_atom_site_fract_x
_atom_site_fract_y
_atom_site_fract_z
_atom_site_occupancy
La1 0.000 0.000 0.000 1
Zn1 0.500 0.500 0.344 1
Cd1 0.000 0.000 0.500 1
Au1 0.000 0.500 0.256 1
Au2 0.500 0.500 0.000 1
```


## LaZnCd8Au2 (PBE)

Data for crystalline LaZnCd8Au2 at its relaxed geometry.

Geometry as CIF:
```
data_LaZnCd8Au2
_cell_length_a 8.542
_cell_length_b 5.644
_cell_length_c 11.882
_cell_angle_alpha 90.00
_cell_angle_beta 101.08
_cell_angle_gamma 90.00
_symmetry_space_group_name_H-M 'C 1 2/m 1'
_symmetry_Int_Tables_number 12
loop_
_symmetry_equiv_pos_as_xyz
'x,y,z'
'-x,-y,-z'
'-x,y,-z'
'x,-y,z'
'x+1/2,y+1/2,z'
'-x+1/2,-y+1/2,-z'
'-x+1/2,y+1/2,-z'
'x+1/2,-y+1/2,z'
loop_
_atom_site_label
_atom_site_fract_x
_atom_site_fract_y
_atom_site_fract_z
_atom_site_occupancy
La1 0.000 0.000 0.000 1
Zn1 0.000 0.000 0.500 1
Cd1 0.002 0.249 0.298 1
Cd2 0.182 0.500 0.530 1
Cd3 0.215 0.500 0.154 1
Au1 0.136 0.500 0.908 1
```


## LaZnCdAu2 (PBE)

Data for crystalline LaZnCdAu2 at its relaxed geometry.

Geometry as CIF:
```
data_LaZnCdAu2
_cell_length_a 5.755
_cell_length_b 13.891
_cell_length_c 5.862
_cell_angle_alpha 90.00
_cell_angle_beta 90.00
_cell_angle_gamma 90.00
_symmetry_space_group_name_H-M 'C m m e'
_symmetry_Int_Tables_number 67
_symmetry_space_group_name_Hall '-C 2a 2'
loop_
_atom_site_label
_atom_site_fract_x
_atom_site_fract_y
_atom_site_fract_z
_atom_site_occupancy
La1 0.000 0.250 0.248 1
Zn1 0.000 0.000 0.000 1
Cd1 0.250 0.000 0.500 1
Au1 0.000 0.150 0.749 1
```


| no. | calculated formation energy (eV per atom) | magnetization (μB/cell) | V (Å³/atom) |
| --- | --- | --- | --- |
| 1 | -0.3065 | 0.000 | 21.1 |
| 2 | -0.1736 | 0.000 | 23.4 |
| 3 | -0.4614 | 0.000 | 23.4 |